## K2RbNi3F12 (PBE+U)

Data for an optimized crystal structure of K2RbNi3F12.

Structure (POSCAR):
```
K2RbNi3F12
1.0
3.657 2.111 5.824
-3.657 2.111 5.824
0.000 -4.222 5.824
K Rb Ni F
2 1 3 12
direct
0.115 0.115 0.115
0.885 0.885 0.885
0.500 0.500 0.500
0.000 0.500 0.500
0.500 0.000 0.500
0.500 0.500 0.000
0.036 0.632 0.632
0.223 0.223 0.618
0.223 0.618 0.223
0.368 0.368 0.964
0.368 0.964 0.368
0.382 0.777 0.777
0.618 0.223 0.223
0.632 0.036 0.632
0.632 0.632 0.036
0.777 0.382 0.777
0.777 0.777 0.382
0.964 0.368 0.368
```

Results
For the raw total energy, the calculation gives -3.972 eV/atom. The symmetry is No. 166.